Record 1
Material: MgMnSCl2
Method: DFT, PBEsol
State: relaxed

Results
For the total DFT energy (no corrections), the calculation gives -4.570 eV/atom. Its volume is 104.15 Å³/cell. Its formation energy without anion corrections is -0.59 eV/atom.

Cell: 4.658 4.658 4.801 Å, 90.00 90.00 90.00°
Sites, in units of the cell vectors:
1 Mg 0.000 0.000 0.000
2 Mn 0.500 0.500 0.500
3 S 0.500 0.500 0.000
4 Cl 0.000 0.500 0.500
5 Cl 0.500 0.000 0.500

---

Record 2
Material: Mg2MoCl
Method: DFT, PBEsol
State: relaxed

Results
The calculation puts the energy relative to the lowest polymorph listed for this composition at 402 meV/atom. For the total DFT energy (no corrections), the calculation gives -3.800 eV/atom. Its volume is 152.30 Å³/cell. Its formation energy without anion corrections is 0.50 eV/atom.

Cell: 3.953 3.953 9.746 Å, 90.00 90.00 90.00°
Sites, in units of the cell vectors:
1 Mg 0.000 0.000 0.000
2 Mg 0.000 0.500 0.250
3 Mg 0.500 0.000 0.750
4 Mg 0.500 0.500 0.500
5 Mo 0.000 0.000 0.500
6 Mo 0.500 0.500 0.000
7 Cl 0.000 0.500 0.750
8 Cl 0.500 0.000 0.250

---

Record 3
Material: Mg2MoCl
Method: DFT, PBEsol
State: relaxed

Results
The calculation puts the energy relative to the lowest polymorph listed for this composition at 90 meV/atom. For the total DFT energy (no corrections), the calculation gives -4.113 eV/atom. Its volume is 141.55 Å³/cell. Its formation energy without anion corrections is 0.19 eV/atom.

Cell: 5.825 8.444 2.878 Å, 90.00 90.00 90.00°
Sites, in units of the cell vectors:
1 Mg 0.250 0.250 0.000
2 Mg 0.250 0.750 0.000
3 Mg 0.750 0.250 0.000
4 Mg 0.750 0.750 0.000
5 Mo 0.000 0.000 0.500
6 Mo 0.500 0.500 0.500
7 Cl 0.000 0.500 0.500
8 Cl 0.500 0.000 0.500

---

Record 4
Material: Mg2MoCl
Method: DFT, PBEsol
State: relaxed

Results
The calculation puts the energy relative to the lowest polymorph listed for this composition at 0 meV/atom. For the total DFT energy (no corrections), the calculation gives -4.202 eV/atom. Its volume is 149.72 Å³/cell. Its formation energy without anion corrections is 0.10 eV/atom.

Cell: 3.023 4.971 9.964 Å, 90.00 90.00 90.00°
Sites, in units of the cell vectors:
1 Mg 0.000 0.000 0.000
2 Mg 0.000 0.500 0.201
3 Mg 0.500 0.000 0.701
4 Mg 0.500 0.500 0.500
5 Mo 0.000 0.000 0.453
6 Mo 0.500 0.500 0.953
7 Cl 0.000 0.500 0.770
8 Cl 0.500 0.000 0.270

---

Record 5
Material: MgMoPCl2
Method: DFT, PBEsol
State: relaxed

Results
For the total DFT energy (no corrections), the calculation gives -4.281 eV/atom. Its volume is 113.04 Å³/cell. Its formation energy without anion corrections is 0.38 eV/atom.

Cell: 4.420 4.420 5.785 Å, 90.00 90.00 90.00°
Sites, in units of the cell vectors:
1 Mg 0.000 0.000 0.000
2 Mo 0.500 0.500 0.500
3 P 0.000 0.000 0.500
4 Cl 0.000 0.500 0.000
5 Cl 0.500 0.000 0.000

---

Record 6
Material: Mg3NCl
Method: DFT, PBEsol
State: relaxed

Results
For the total DFT energy (no corrections), the calculation gives -2.150 eV/atom. Its volume is 106.56 Å³/cell. Its formation energy without anion corrections is 0.99 eV/atom.

Cell: 4.741 4.741 4.741 Å, 90.00 90.00 90.00°
Sites, in units of the cell vectors:
1 Mg 0.000 0.000 0.500
2 Mg 0.000 0.500 0.000
3 Mg 0.500 0.000 0.000
4 N 0.500 0.500 0.500
5 Cl 0.000 0.000 0.000

---

Record 7
Material: MgSe2NCl
Method: DFT, PBEsol
State: relaxed

Results
For the total DFT energy (no corrections), the calculation gives -3.027 eV/atom. Its volume is 95.26 Å³/cell. Its formation energy without anion corrections is 0.96 eV/atom.

Cell: 4.932 4.932 3.916 Å, 90.00 90.00 90.00°
Sites, in units of the cell vectors:
1 Mg 0.000 0.000 0.000
2 Se 0.000 0.500 0.500
3 Se 0.500 0.000 0.500
4 N 0.500 0.500 0.000
5 Cl 0.500 0.500 0.500

---

Record 8
Material: MgSeN2Cl
Method: DFT, PBEsol
State: relaxed

Results
For the total DFT energy (no corrections), the calculation gives -3.580 eV/atom. Its volume is 92.48 Å³/cell. Its formation energy without anion corrections is 1.35 eV/atom.

Cell: 4.067 4.067 5.592 Å, 90.00 90.00 90.00°
Sites, in units of the cell vectors:
1 Mg 0.000 0.000 0.000
2 Se 0.000 0.000 0.500
3 N 0.000 0.500 0.000
4 N 0.500 0.000 0.000
5 Cl 0.500 0.500 0.500

---

Record 9
Material: MgTe2NCl
Method: DFT, PBEsol
State: relaxed

Results
For the total DFT energy (no corrections), the calculation gives -3.146 eV/atom. Its volume is 116.67 Å³/cell. Its formation energy without anion corrections is 0.71 eV/atom.

Cell: 5.520 5.520 3.829 Å, 90.00 90.00 90.00°
Sites, in units of the cell vectors:
1 Mg 0.000 0.000 0.000
2 Te 0.000 0.500 0.000
3 Te 0.500 0.000 0.000
4 N 0.000 0.000 0.500
5 Cl 0.500 0.500 0.500

---

Record 10
Material: NaMgCl2
Method: DFT, PBEsol
State: relaxed

Results
For the total DFT energy (no corrections), the calculation gives -3.047 eV/atom. Its volume is 311.63 Å³/cell. Its formation energy without anion corrections is -1.26 eV/atom.

Cell: 3.887 3.887 23.811 Å, 90.00 90.00 120.00°
Sites, in units of the cell vectors:
1 Na 0.000 0.000 0.000
2 Na 0.333 0.667 0.667
3 Na 0.667 0.333 0.333
4 Mg 0.000 0.000 0.500
5 Mg 0.333 0.667 0.167
6 Mg 0.667 0.333 0.833
7 Cl 0.000 0.000 0.400
8 Cl 0.000 0.000 0.600
9 Cl 0.333 0.667 0.066
10 Cl 0.333 0.667 0.267
11 Cl 0.667 0.333 0.733
12 Cl 0.667 0.333 0.934

---

Record 11
Material: NaMgSCl2
Method: DFT, PBEsol
State: relaxed

Results
For the total DFT energy (no corrections), the calculation gives -3.438 eV/atom. Its volume is 119.10 Å³/cell. Its formation energy without anion corrections is -1.13 eV/atom.

Cell: 4.937 4.937 4.887 Å, 90.00 90.00 90.00°
Sites, in units of the cell vectors:
1 Na 0.000 0.000 0.000
2 Mg 0.500 0.500 0.500
3 S 0.500 0.500 0.000
4 Cl 0.000 0.500 0.500
5 Cl 0.500 0.000 0.500

---

Record 12
Material: Mg3NbCl
Method: DFT, PBEsol
State: relaxed

Results
For the total DFT energy (no corrections), the calculation gives -2.612 eV/atom. Its volume is 168.49 Å³/cell. Its formation energy without anion corrections is 0.98 eV/atom.

Cell: 5.523 5.523 5.523 Å, 90.00 90.00 90.00°
Sites, in units of the cell vectors:
1 Mg 0.000 0.000 0.500
2 Mg 0.000 0.500 0.000
3 Mg 0.500 0.000 0.000
4 Nb 0.000 0.000 0.000
5 Cl 0.500 0.500 0.500

---

Number 1: total moment 4.39 Bohr magnetons per cell. Number 2: total moment 4.77 Bohr magnetons per cell. Number 3: total moment 0.00 Bohr magnetons per cell. Number 4: total moment 0.00 Bohr magnetons per cell. Number 5: total moment 3.00 Bohr magnetons per cell. Number 6: total moment 0.00 Bohr magnetons per cell. Number 7: total moment 1.55 Bohr magnetons per cell. Number 8: total moment 4.48 Bohr magnetons per cell. Number 9: total moment 1.06 Bohr magnetons per cell. Number 10: total moment 0.00 Bohr magnetons per cell. Number 11: total moment 1.01 Bohr magnetons per cell. Number 12: total moment 3.98 Bohr magnetons per cell.